#a
! FeTc2I PBE-GGA relaxed; values from VASP
&SYSTEM
  ibrav = 0, nat = 8, ntyp = 3
/
ATOMIC_SPECIES
Tc 98.00 Tc.upf
Fe 55.84 Fe.upf
I 126.90 I.upf
CELL_PARAMETERS angstrom
5.528 0.000 0.000
0.000 5.528 0.000
2.764 2.764 5.645
ATOMIC_POSITIONS angstrom
Tc 6.910 6.559 4.234
Tc 3.795 1.382 1.411
Fe 2.764 5.528 2.823
Tc 4.146 4.497 4.234
I 0.000 0.000 0.000
Fe 2.764 2.764 0.000
Tc 1.733 4.146 1.411
I 5.528 2.764 2.823
! D(E_F): 0.894 states/eV per atom

=====

#b
! FeTc2I PBE-GGA relaxed; values from VASP
&SYSTEM
  ibrav = 0, nat = 4, ntyp = 3
/
ATOMIC_SPECIES
Fe 55.84 Fe.upf
Tc 98.00 Tc.upf
I 126.90 I.upf
CELL_PARAMETERS angstrom
0.000 3.116 3.116
3.116 0.000 3.116
3.116 3.116 0.000
ATOMIC_POSITIONS angstrom
Fe 0.000 0.000 0.000
Tc 1.558 1.558 1.558
I 3.116 3.116 3.116
Tc 4.674 4.674 4.674
! D(E_F): 1.154 states/eV per atom

=====

Order of stability, best first: #b, #a

=====

#a
! FeTcTe2I PBE-GGA relaxed; values from VASP
&SYSTEM
  ibrav = 0, nat = 5, ntyp = 4
/
ATOMIC_SPECIES
Te 127.60 Te.upf
Tc 98.00 Tc.upf
Fe 55.84 Fe.upf
I 126.90 I.upf
CELL_PARAMETERS angstrom
5.135 0.000 0.000
0.000 5.135 0.000
0.000 0.000 5.708
ATOMIC_POSITIONS angstrom
Te 0.000 2.568 0.000
Tc 0.000 0.000 0.000
Te 2.568 0.000 0.000
Fe 2.568 2.568 2.854
I 0.000 0.000 2.854
! D(E_F): 2.104 states/eV per atom

=====

#b
! FeTcTe2I PBE-GGA relaxed; values from VASP
&SYSTEM
  ibrav = 0, nat = 5, ntyp = 4
/
ATOMIC_SPECIES
I 126.90 I.upf
Tc 98.00 Tc.upf
Te 127.60 Te.upf
Fe 55.84 Fe.upf
CELL_PARAMETERS angstrom
-4.296 1.416 -2.336
-1.461 -4.869 -0.263
-2.510 0.488 4.912
ATOMIC_POSITIONS angstrom
I -1.255 0.244 2.456
Tc -4.134 -1.483 1.156
Te -2.148 0.708 -1.168
Fe 0.000 0.000 0.000
Te -0.731 -2.434 -0.132
! D(E_F): 1.601 states/eV per atom

=====

Order of stability, best first: #a, #b

=====

#a
! FeTeI3 PBE-GGA relaxed; values from VASP
&SYSTEM
  ibrav = 0, nat = 5, ntyp = 3
/
ATOMIC_SPECIES
I 126.90 I.upf
Te 127.60 Te.upf
Fe 55.84 Fe.upf
CELL_PARAMETERS angstrom
-1.911 -0.576 4.834
4.660 -1.718 1.637
1.407 4.906 1.141
ATOMIC_POSITIONS angstrom
I 2.330 -0.859 0.819
Te 2.078 1.306 3.806
I -0.955 -0.288 2.417
I 0.704 2.453 0.570
Fe 0.000 0.000 0.000
! D(E_F): 1.211 states/eV per atom

=====

#b
! FeTeI3 PBE-GGA relaxed; values from VASP
&SYSTEM
  ibrav = 0, nat = 10, ntyp = 3
/
ATOMIC_SPECIES
I 126.90 I.upf
Fe 55.84 Fe.upf
Te 127.60 Te.upf
CELL_PARAMETERS angstrom
-7.807 4.411 0.949
-2.213 -2.307 -7.483
-2.021 -4.925 6.260
ATOMIC_POSITIONS angstrom
I -7.437 2.781 1.294
I -6.635 -4.454 -1.321
I -9.209 -1.174 2.183
I -4.541 -0.502 2.218
Fe -6.266 -2.407 -2.691
Te -3.482 -3.132 1.753
Te -7.544 -0.263 -2.150
Fe -8.737 1.259 2.777
I -4.333 -0.799 -2.275
I -10.384 -0.690 -2.142
! D(E_F): 0.156 states/eV per atom

=====

Order of stability, best first: #b, #a

=====

#a
! FeTe2I PBE-GGA relaxed; values from VASP
&SYSTEM
  ibrav = 0, nat = 8, ntyp = 3
/
ATOMIC_SPECIES
I 126.90 I.upf
Fe 55.84 Fe.upf
Te 127.60 Te.upf
CELL_PARAMETERS angstrom
-2.276 -2.506 -6.155
6.349 1.102 -2.796
3.513 -5.568 -3.041
ATOMIC_POSITIONS angstrom
I 0.000 0.000 0.000
Fe 5.949 -2.584 -5.156
Te 5.466 -5.532 -9.790
Te 4.895 -4.575 -5.960
Fe 2.037 -0.702 -4.476
I 1.637 -4.388 -6.836
Te 4.299 -1.306 -3.988
Te 0.512 -2.531 -4.246
! D(E_F): 0.608 states/eV per atom

=====

#b
! FeTe2I PBE-GGA relaxed; values from VASP
&SYSTEM
  ibrav = 0, nat = 4, ntyp = 3
/
ATOMIC_SPECIES
I 126.90 I.upf
Te 127.60 Te.upf
Fe 55.84 Fe.upf
CELL_PARAMETERS angstrom
2.188 0.000 8.357
-1.094 1.895 8.357
-1.094 -1.895 8.357
ATOMIC_POSITIONS angstrom
I 0.000 0.000 0.000
Te 0.000 0.000 5.525
Fe 0.000 0.000 12.536
Te 0.000 0.000 19.547
! D(E_F): 1.354 states/eV per atom

=====

Order of stability, best first: #b, #a

=====

#a
! Fe2TeI PBE-GGA relaxed; values from VASP
&SYSTEM
  ibrav = 0, nat = 4, ntyp = 3
/
ATOMIC_SPECIES
I 126.90 I.upf
Fe 55.84 Fe.upf
Te 127.60 Te.upf
CELL_PARAMETERS angstrom
-4.209 0.140 2.372
-4.095 0.921 -2.396
-3.259 -3.509 -0.653
ATOMIC_POSITIONS angstrom
I -5.782 -1.224 -0.338
Fe -8.672 -1.836 -0.507
Te 0.000 0.000 0.000
Fe -2.891 -0.612 -0.169
! D(E_F): 1.839 states/eV per atom

=====

#b
! Fe2TeI PBE-GGA relaxed; values from VASP
&SYSTEM
  ibrav = 0, nat = 8, ntyp = 3
/
ATOMIC_SPECIES
Fe 55.84 Fe.upf
I 126.90 I.upf
Te 127.60 Te.upf
CELL_PARAMETERS angstrom
5.703 0.000 0.000
0.000 5.703 0.000
2.852 2.852 5.672
ATOMIC_POSITIONS angstrom
Fe 4.278 4.286 4.254
Fe 1.434 4.278 1.418
Fe 7.129 7.121 4.254
I 0.000 0.000 0.000
Te 2.852 5.703 2.836
Fe 4.270 1.426 1.418
I 5.703 2.852 2.836
Te 2.852 2.852 0.000
! D(E_F): 1.445 states/eV per atom

=====

Order of stability, best first: #b, #a

=====

#a
! TlFeTeI2 PBE-GGA relaxed; values from VASP
&SYSTEM
  ibrav = 0, nat = 5, ntyp = 4
/
ATOMIC_SPECIES
Tl 204.38 Tl.upf
Fe 55.84 Fe.upf
Te 127.60 Te.upf
I 126.90 I.upf
CELL_PARAMETERS angstrom
6.014 0.000 0.000
0.000 6.014 0.000
0.000 0.000 5.875
ATOMIC_POSITIONS angstrom
Tl 0.000 0.000 0.000
Fe 3.007 3.007 2.938
Te 0.000 0.000 2.938
I 3.007 0.000 0.000
I 0.000 3.007 0.000
! D(E_F): 1.818 states/eV per atom

=====

#b
! TlFeTeI2 PBE-GGA relaxed; values from VASP
&SYSTEM
  ibrav = 0, nat = 5, ntyp = 4
/
ATOMIC_SPECIES
Fe 55.84 Fe.upf
Te 127.60 Te.upf
I 126.90 I.upf
Tl 204.38 Tl.upf
CELL_PARAMETERS angstrom
-3.229 4.141 2.230
-2.614 -3.828 3.326
3.312 0.729 3.442
ATOMIC_POSITIONS angstrom
Fe 0.000 0.000 0.000
Te 1.656 0.365 1.721
I -1.614 2.071 1.115
Tl -1.265 0.521 4.499
I -1.307 -1.914 1.663
! D(E_F): 1.353 states/eV per atom

=====

Order of stability, best first: #b, #a

=====

#a
! VFeTeI2 PBE-GGA relaxed; values from VASP
&SYSTEM
  ibrav = 0, nat = 5, ntyp = 4
/
ATOMIC_SPECIES
V 50.94 V.upf
I 126.90 I.upf
Fe 55.84 Fe.upf
Te 127.60 Te.upf
CELL_PARAMETERS angstrom
-0.736 -2.787 -4.424
5.042 0.805 -1.346
1.288 -4.101 2.369
ATOMIC_POSITIONS angstrom
V 2.797 -3.041 -1.701
I 2.521 0.403 -0.673
I -0.368 -1.394 -2.212
Fe 0.000 0.000 0.000
Te 0.644 -2.051 1.185
! D(E_F): 2.433 states/eV per atom

=====

#b
! VFeTeI2 PBE-GGA relaxed; values from VASP
&SYSTEM
  ibrav = 0, nat = 5, ntyp = 4
/
ATOMIC_SPECIES
Fe 55.84 Fe.upf
Te 127.60 Te.upf
I 126.90 I.upf
V 50.94 V.upf
CELL_PARAMETERS angstrom
-4.990 2.036 -1.434
-2.471 -3.656 3.410
0.286 3.463 3.920
ATOMIC_POSITIONS angstrom
Fe -3.588 0.921 2.948
Te 0.143 1.732 1.960
I -1.236 -1.828 1.705
I -2.495 1.018 -0.717
V 0.000 0.000 0.000
! D(E_F): 1.684 states/eV per atom

=====

Order of stability, best first: #b, #a

=====

#a
! FeTeWI2 PBE-GGA relaxed; values from VASP
&SYSTEM
  ibrav = 0, nat = 5, ntyp = 4
/
ATOMIC_SPECIES
Te 127.60 Te.upf
Fe 55.84 Fe.upf
W 183.84 W.upf
I 126.90 I.upf
CELL_PARAMETERS angstrom
-5.216 -1.760 -1.417
1.774 -0.979 -5.311
1.285 -4.876 1.328
ATOMIC_POSITIONS angstrom
Te 0.642 -2.438 0.664
Fe -1.078 -3.808 -2.700
W 0.000 0.000 0.000
I 0.887 -0.490 -2.655
I -2.608 -0.880 -0.709
! D(E_F): 1.497 states/eV per atom

=====

#b
! FeTeWI2 PBE-GGA relaxed; values from VASP
&SYSTEM
  ibrav = 0, nat = 5, ntyp = 4
/
ATOMIC_SPECIES
W 183.84 W.upf
Te 127.60 Te.upf
Fe 55.84 Fe.upf
I 126.90 I.upf
CELL_PARAMETERS angstrom
-4.944 -0.266 0.309
-0.228 -1.311 -4.779
0.338 -4.777 1.294
ATOMIC_POSITIONS angstrom
W -2.417 -3.177 -1.588
Te 0.169 -2.389 0.647
Fe 0.000 0.000 0.000
I -2.472 -0.133 0.155
I -0.114 -0.655 -2.390
! D(E_F): 1.551 states/eV per atom

=====

Order of stability, best first: #a, #b